Material: LaPr2DyY
Method: DFT, PBE
State: optimized geometry

Lattice parameters (Å, degrees): 6.9308 8.1989 6.2698 91.79 90.00 90.00
Closest atoms and distances in Å follow each position.
Fractional positions:
La (0.0000, 0.0000, 0.5000)  2 La 3.13, 2 Dy 3.28
Pr (0.3130, 0.3035, 0.2393)  1 Dy 3.12, 1 Pr 3.22
Pr (0.6870, 0.6965, 0.7607)  1 Dy 3.12, 1 Pr 3.22
Dy (0.5839, 0.0000, 0.2500)  2 Pr 3.12, 2 La 3.28, 2 Dy 3.34
Y (0.8441, 0.5000, 0.2500)  8 Pr 3.63-4.02, 2 Y 3.81
Pr (0.6870, 0.3035, 0.7393)  1 Dy 3.12, 1 Pr 3.22
Pr (0.3130, 0.6965, 0.2607)  1 Dy 3.12, 1 Pr 3.22
La (0.0000, 0.0000, 0.0000)  2 La 3.13, 2 Dy 3.28
Y (0.1559, 0.5000, 0.7500)  8 Pr 3.63-4.02, 2 Y 3.81
Dy (0.4161, 0.0000, 0.7500)  2 Pr 3.12, 2 La 3.28, 2 Dy 3.34

density of states at the Fermi level: 15.02 states/eV/cell
formation enthalpy at 0 K: 260 meV per atom
total moment: 0.0 μB per cell